A relaxed Tb2Y8Sc crystal. Source: Alexandria via LeMat-Bulk, functional PBE.

The structure in POSCAR format:
```
Tb2Y8Sc
1.0
4.4596 -7.9640 0.0000
4.4596 7.9640 0.0000
-3.0693 0.0000 4.9635
Tb Y Sc
2 8 1
Cartesian
4.4596 4.8762 0.0000
4.4596 -4.8762 0.0000
-0.1400 0.0000 1.4845
-0.0124 1.8213 4.1422
2.9250 3.2483 2.4817
-0.0124 -1.8213 4.1422
5.8623 1.8213 0.8212
2.9250 -3.2483 2.4817
5.8623 -1.8213 0.8212
5.9899 0.0000 3.4790
2.9250 0.0000 2.4817
```

Computed properties:
- ΔE to the lowest computed polymorph: 0 meV/atom
- Calculated volume: 32.05 A^3/atom
- ΔH_f (0 K): 0.172 eV/atom
- SG: C2/m (12)


A relaxed CaTa2Os crystal. Source: Alexandria via LeMat-Bulk, functional PBE.

The structure in POSCAR format:
```
CaTa2Os
1.0
3.0437 0.0000 0.0000
0.0000 4.2696 0.0000
-1.1603 0.0000 6.5623
Ca Ta Os
1 2 1
Cartesian
0.0000 0.0000 0.0000
0.5193 2.1348 4.3660
2.1783 0.0000 3.0495
1.1412 2.1348 1.9973
```

Computed properties:
- ΔE to the lowest computed polymorph: 151 meV/atom
- Calculated volume: 21.32 A^3/atom
- ΔH_f (0 K): 0.353 eV/atom
- SG: Pm (6)


A relaxed TlB3F crystal. Source: Alexandria via LeMat-Bulk, functional PBE.

The structure in POSCAR format:
```
TlB3F
1.0
4.6354 0.0000 0.0000
0.0000 4.6354 0.0000
0.0000 0.0000 4.6354
Tl B F
1 3 1
Cartesian
0.0000 0.0000 0.0000
0.0000 0.0000 2.3177
0.0000 2.3177 0.0000
2.3177 0.0000 0.0000
2.3177 2.3177 2.3177
```

Computed properties:
- Formation energy from raw total energies: 2.2579 eV per atom
- ΔE to the lowest computed polymorph: 389 meV/atom
- Calculated volume: 19.92 A^3/atom
- SG: Pm-3m (221)


A relaxed CePrTm2 crystal. Source: Alexandria via LeMat-Bulk, functional PBE.

The structure in POSCAR format:
```
CePrTm2
1.0
5.0661 0.0000 0.0000
0.0000 5.0661 0.0000
0.0000 0.0000 4.9123
Ce Pr Tm
1 1 2
Cartesian
0.0000 0.0000 0.0000
2.5330 2.5330 0.0000
0.0000 2.5330 2.4561
2.5330 0.0000 2.4561
```

Computed properties:
- ΔE to the lowest computed polymorph: 15 meV/atom
- Calculated volume: 31.52 A^3/atom
- ΔH_f (0 K): 0.074 eV/atom
- SG: P4/mmm (123)